Entry 1:
This record from the Open Quantum Materials Database describes a relaxed structure of SrReNO. The functional is GGA-PBE.

Cell: 7.617 6.870 5.067 Å, 90.00 90.00 90.00°
Space group Pca2_1 (No. 29)
Inequivalent atoms, fractional coordinates:
Sr 0.104 0.190 0.000 x4
Re 0.183 0.683 0.000 x4
N 0.010 0.174 0.500 x4
O 0.249 0.474 0.749 x4

The value obtained for the energy above the most stable polymorph in this dataset is 0.0000 eV per atom.

=====

Entry 2:
This record from the Open Quantum Materials Database describes a relaxed structure of SrCuSe. The functional is GGA-PBE.

Cell: 5.2700 5.2700 10.7088 Å, 90.00 90.00 120.00°
Space group P-6m2 (No. 187)
Inequivalent atoms, fractional coordinates:
Sr 0.0000 0.0000 0.0000 x1
Sr 0.6667 0.3333 0.2985 x2
Cu 0.3333 0.6667 0.2814 x2
Cu 0.3333 0.6667 0.5000 x1
Se 0.0000 0.0000 0.2832 x2
Se 0.6667 0.3333 0.0000 x1

Its calculated total energy is -3.60 eV/atom.

=====

Entry 3:
This record from the Open Quantum Materials Database describes a relaxed structure of NiGe4Pt3. The functional is GGA-PBE.

Cell: 5.739 3.610 6.187 Å, 90.00 90.15 90.00°
Space group Pm (No. 6)
Inequivalent atoms, fractional coordinates:
Ni 0.000 0.000 0.000 x1
Ge 0.183 0.500 0.205 x1
Ge 0.309 0.000 0.726 x1
Ge 0.704 0.500 0.895 x1
Ge 0.825 0.000 0.376 x1
Pt 0.005 0.500 0.618 x1
Pt 0.500 0.000 0.104 x1
Pt 0.501 0.500 0.495 x1

Its calculated total energy is -5.71 eV/atom.

=====

Entry 4:
This record from the Open Quantum Materials Database describes a relaxed structure of LuFePbAu. The functional is GGA-PBE.

Cell: 6.903 6.903 6.903 Å, 90.00 90.00 90.00°
Space group F-43m (No. 216)
Inequivalent atoms, fractional coordinates:
Lu 0.000 0.000 0.000 x4
Fe 0.000 0.000 0.500 x4
Pb 0.250 0.250 0.250 x4
Au 0.250 0.250 0.750 x4

The value obtained for the energy above the most stable polymorph in this dataset is 0.0000 eV per atom.

=====

Entry 5:
This record from the Open Quantum Materials Database describes a relaxed structure of Cs2InAgCl6. The functional is GGA-PBE.

Cell: 7.4994 7.4994 18.2561 Å, 90.00 90.00 120.00°
Space group R3 (No. 146, hexagonal axes)
Inequivalent atoms, fractional coordinates:
Cs 0.0000 0.0000 0.0000 x3
Cs 0.0000 0.0000 0.4994 x3
In 0.0000 0.0000 0.2492 x3
Ag 0.0000 0.0000 0.7489 x3
Cl 0.0115 0.5286 0.9968 x9
Cl 0.1494 0.3441 0.8355 x9

The value obtained for the energy above the most stable polymorph in this dataset is 0.0015 eV per atom.

=====

Entry 6:
This record from the Open Quantum Materials Database describes a relaxed structure of CuSi5Ir3. The functional is GGA-PBE.

Cell: 5.3619 5.3619 6.0435 Å, 90.00 90.00 120.00°
Space group P6/mmm (No. 191)
Inequivalent atoms, fractional coordinates:
Cu 0.0000 0.0000 0.0000 x1
Si 0.0000 0.0000 0.5000 x1
Si 0.3333 0.6667 0.1894 x4
Ir 0.0000 0.5000 0.5000 x3

Its calculated total energy is -6.32 eV/atom.

=====

Entry 7:
This record from the Open Quantum Materials Database describes a relaxed structure of SiHgB4. The functional is GGA-PBE.

Cell: 3.065 5.266 8.024 Å, 90.00 90.00 90.00°
Space group Immm (No. 71)
Inequivalent atoms, fractional coordinates:
Si 0.000 0.000 0.000 x2
Hg 0.000 0.000 0.500 x2
B 0.000 0.330 0.265 x8

The value obtained for the energy above the most stable polymorph in this dataset is 0.2803 eV per atom.

=====

Entry 8:
This record from the Open Quantum Materials Database describes a relaxed structure of InAgGeSe3. The functional is GGA-PBE.

Cell: 3.854 13.397 10.884 Å, 90.00 90.00 90.00°
Space group Cmcm (No. 63)
Inequivalent atoms, fractional coordinates:
In 0.000 0.221 0.250 x4
Ag 0.000 0.486 0.750 x4
Ge 0.000 0.000 0.000 x4
Se 0.000 0.123 0.750 x4
Se 0.000 0.358 0.566 x8

The value obtained for the energy above the most stable polymorph in this dataset is 0.1305 eV per atom.

=====

Entry 9:
This record from the Open Quantum Materials Database describes a relaxed structure of DyTmLu2. The functional is GGA-PBE.

Cell: 5.514 12.255 7.076 Å, 90.00 90.00 90.00°
Space group Ama2 (No. 40)
Inequivalent atoms, fractional coordinates:
Dy 0.250 0.167 0.000 x4
Tm 0.250 0.417 0.249 x4
Lu 0.250 0.166 0.500 x4
Lu 0.250 0.417 0.751 x4

Its calculated total energy is -4.53 eV/atom.

=====

Entry 10:
This record from the Open Quantum Materials Database describes a relaxed structure of PmMg2Pt. The functional is GGA-PBE.

Cell: 4.229 10.338 8.275 Å, 90.00 90.00 90.00°
Space group Cmcm (No. 63)
Inequivalent atoms, fractional coordinates:
Pm 0.000 0.061 0.250 x4
Mg 0.000 0.348 0.054 x8
Pt 0.000 0.231 0.750 x4

Its calculated total energy is -4.18 eV/atom.

=====

Entry 11:
This record from the Open Quantum Materials Database describes a relaxed structure of ReW3. The functional is GGA-PBE.

Cell: 5.2117 5.2117 16.8404 Å, 90.00 90.00 120.00°
Space group P6_3/mmc (No. 194)
Inequivalent atoms, fractional coordinates:
Re 0.1594 0.3188 0.2500 x6
W 0.0000 0.0000 0.0915 x4
W 0.0000 0.5000 0.0000 x6
W 0.3333 0.6667 0.1279 x4
W 0.3333 0.6667 0.6663 x4

The value obtained for the energy above the most stable polymorph in this dataset is 0.0165 eV per atom.

=====

Entry 12:
This record from the Open Quantum Materials Database describes a relaxed structure of Ni15Te2. The functional is GGA-PBE.

Cell: 8.101 3.201 27.275 Å, 90.00 97.81 90.00°
Space group C2/m (No. 12)
Inequivalent atoms, fractional coordinates:
Ni 0.000 0.000 0.000 x2
Ni 0.014 0.000 0.215 x4
Ni 0.070 0.500 0.150 x4
Ni 0.074 0.500 0.940 x4
Ni 0.141 0.000 0.090 x4
Ni 0.146 0.000 0.879 x4
Ni 0.210 0.500 0.817 x4
Ni 0.213 0.500 0.030 x4
Te 0.239 0.500 0.254 x4

Its calculated total energy is -5.26 eV/atom.

=====

Entry 13:
This record from the Open Quantum Materials Database describes a relaxed structure of TbErNCl3. The functional is GGA-PBE.

Cell: 16.348 3.817 10.728 Å, 90.00 122.14 90.00°
Space group C2/m (No. 12)
Inequivalent atoms, fractional coordinates:
Tb 0.085 0.000 0.455 x4
Er 0.138 0.500 0.793 x4
N 0.078 0.000 0.659 x4
Cl 0.043 0.500 0.245 x4
Cl 0.167 0.000 0.012 x4
Cl 0.223 0.500 0.617 x4

The value obtained for the energy above the most stable polymorph in this dataset is 0.0141 eV per atom.

=====

Entry 14:
This record from the Open Quantum Materials Database describes a relaxed structure of Li4NiSb2Pt. The functional is GGA-PBE.

Cell: 4.404 4.404 6.245 Å, 90.00 90.00 90.00°
Space group P-4m2 (No. 115)
Inequivalent atoms, fractional coordinates:
Li 0.000 0.000 0.000 x1
Li 0.000 0.500 0.249 x2
Li 0.500 0.500 0.500 x1
Ni 0.500 0.500 0.000 x1
Sb 0.000 0.500 0.765 x2
Pt 0.000 0.000 0.500 x1

Its calculated total energy is -4.01 eV/atom.

=====

Entry 15:
This record from the Open Quantum Materials Database describes a relaxed structure of Ag2PdPt3. The functional is GGA-PBE.

Cell: 2.7976 2.7976 14.1590 Å, 90.00 90.00 120.00°
Space group P-3m1 (No. 164)
Inequivalent atoms, fractional coordinates:
Ag 0.3333 0.6667 0.1688 x2
Pd 0.0000 0.0000 0.5000 x1
Pt 0.0000 0.0000 0.0000 x1
Pt 0.3333 0.6667 0.6626 x2

Its calculated total energy is -4.86 eV/atom.

=====

Entry 16:
This record from the Open Quantum Materials Database describes a relaxed structure of AgTeO3. The functional is GGA-PBE.

Cell: 5.942 11.621 9.014 Å, 90.00 119.64 90.00°
Space group P2_1/c (No. 14)
Inequivalent atoms, fractional coordinates:
Ag 0.069 0.171 0.220 x4
Ag 0.103 0.646 0.031 x4
Te 0.400 0.125 0.000 x4
Te 0.424 0.572 0.814 x4
O 0.067 0.184 0.927 x4
O 0.269 0.034 0.476 x4
O 0.272 0.540 0.448 x4
O 0.340 0.142 0.763 x4
O 0.401 0.735 0.925 x4
O 0.477 0.094 0.236 x4

Its calculated total energy is -4.87 eV/atom.

=====

Entry 17:
This record from the Open Quantum Materials Database describes a relaxed structure of HfTlCdFe. The functional is GGA-PBE.

Cell: 6.731 6.731 6.731 Å, 90.00 90.00 90.00°
Space group F-43m (No. 216)
Inequivalent atoms, fractional coordinates:
Hf 0.000 0.000 0.000 x4
Tl 0.000 0.000 0.500 x4
Cd 0.250 0.250 0.250 x4
Fe 0.250 0.250 0.750 x4

The value obtained for the energy above the most stable polymorph in this dataset is 0.0000 eV per atom.

=====

Entry 18:
This record from the Open Quantum Materials Database describes a relaxed structure of ScAgTeO. The functional is GGA-PBE.

Cell: 3.884 3.884 9.826 Å, 90.00 90.00 90.00°
Space group P4/nmm (No. 129, origin choice 2)
Inequivalent atoms, fractional coordinates:
Sc 0.250 0.250 0.094 x2
Ag 0.250 0.750 0.500 x2
Te 0.250 0.250 0.722 x2
O 0.250 0.750 0.000 x2

The value obtained for the energy above the most stable polymorph in this dataset is 0.0086 eV per atom.

=====

Entry 19:
This record from the Open Quantum Materials Database describes a relaxed structure of Cu2H15C7I3N4. The functional is GGA-PBE.

Cell: 7.507 8.083 12.924 Å, 101.61 96.41 103.85°
Space group P-1 (No. 2)
Inequivalent atoms, fractional coordinates:
Cu 0.038 0.008 0.109 x2
Cu 0.457 0.009 0.402 x2
H 0.010 0.209 0.714 x2
H 0.069 0.366 0.842 x2
H 0.105 0.452 0.620 x2
H 0.144 0.601 0.749 x2
H 0.158 0.973 0.684 x2
H 0.240 0.208 0.595 x2
H 0.288 0.337 0.981 x2
H 0.316 0.661 0.223 x2
H 0.323 0.955 0.790 x2
H 0.327 0.610 0.670 x2
H 0.369 0.572 0.896 x2
H 0.375 0.838 0.158 x2
H 0.396 0.160 0.959 x2
H 0.458 0.425 0.192 x2
H 0.467 0.363 0.634 x2
C 0.120 0.279 0.783 x2
C 0.208 0.524 0.692 x2
C 0.269 0.047 0.752 x2
C 0.345 0.255 0.923 x2
C 0.354 0.278 0.662 x2
C 0.429 0.744 0.194 x2
C 0.431 0.491 0.839 x2
I 0.110 0.770 0.963 x2
I 0.243 0.773 0.478 x2
I 0.266 0.166 0.291 x2
N 0.193 0.156 0.832 x2
N 0.276 0.396 0.742 x2
N 0.423 0.156 0.713 x2
N 0.497 0.366 0.885 x2

Its calculated total energy is -5.28 eV/atom.